Density functional theory data (GGA-PBE) for a relaxed structure of BaMoBr2.

Properties
DOS at the Fermi energy: 0.117 states/eV/cell
raw formation energy: -0.20 eV per atom
polymorph energy (0 for the lowest one): 92.8 meV/atom
total magnetization: 0.00 μB/cell

a b c (Å): 6.491 6.491 6.491
angles (deg): 40.04 40.04 40.04
Sites, in units of the cell vectors:
Mo 0.250 0.250 0.250
Ba 0.750 0.750 0.750
Br 0.972 0.972 0.972
Br 0.528 0.528 0.528



Density functional theory data (GGA-PBE) for a relaxed structure of BaMoBr2.

Properties
DOS at the Fermi energy: 0.150 states/eV/cell
raw formation energy: -0.18 eV per atom
polymorph energy (0 for the lowest one): 106.6 meV/atom
total magnetization: 6.00 μB/cell

a b c (Å): 5.684 5.684 5.684
angles (deg): 60.00 60.00 60.00
Each line ends with the local moment (μB).
Sites, in units of the cell vectors:
Mo 0.000 0.000 0.000  4.11
Ba 0.500 0.500 0.500  0.11
Br 0.250 0.250 0.250  0.10
Br 0.750 0.750 0.750  0.10



Density functional theory data (GGA-PBE) for a relaxed structure of BaMo3Br.

Properties
DOS at the Fermi energy: 9.640 states/eV/cell
raw formation energy: 3.17 eV per atom
polymorph energy (0 for the lowest one): 1587.4 meV/atom
total magnetization: 10.70 μB/cell

a b c (Å): 5.444 5.444 5.444
angles (deg): 90.00 90.00 90.00
Each line ends with the local moment (μB).
Sites, in units of the cell vectors:
Mo 0.000 0.500 0.000  2.80
Mo 0.000 0.000 0.500  2.49
Mo 0.500 0.000 0.000  3.12
Ba 0.000 0.000 0.000  -0.01
Br 0.500 0.500 0.500  0.21



Density functional theory data (GGA-PBE) for a relaxed structure of Ba2MoBr.

Properties
DOS at the Fermi energy: 3.631 states/eV/cell
raw formation energy: 0.62 eV per atom
polymorph energy (0 for the lowest one): 585.1 meV/atom
total magnetization: 3.32 μB/cell

a b c (Å): 5.764 5.764 5.764
angles (deg): 60.00 60.00 60.00
Each line ends with the local moment (μB).
Sites, in units of the cell vectors:
Mo 0.750 0.750 0.750  2.94
Ba 0.000 0.000 0.000  0.01
Ba 0.250 0.250 0.250  -0.15
Br 0.500 0.500 0.500  0.05



Density functional theory data (GGA-PBE) for a relaxed structure of BaMo2Br.

Properties
DOS at the Fermi energy: 4.947 states/eV/cell
raw formation energy: 0.89 eV per atom
polymorph energy (0 for the lowest one): 727.7 meV/atom
total magnetization: 1.29 μB/cell

a b c (Å): 4.656 6.829 3.446
angles (deg): 75.32 90.19 109.98
Each line ends with the local moment (μB).
Sites, in units of the cell vectors:
Mo 0.000 0.000 0.000  0.50
Mo 0.500 0.000 0.500  0.50
Ba 0.000 0.500 0.500  0.03
Br 0.500 0.500 0.000  0.01



Density functional theory data (GGA-PBE) for a relaxed structure of BaMo2Br.

Properties
DOS at the Fermi energy: 2.751 states/eV/cell
raw formation energy: 0.81 eV per atom
polymorph energy (0 for the lowest one): 648.8 meV/atom
total magnetization: 0.46 μB/cell

a b c (Å): 3.566 4.660 6.729
angles (deg): 90.00 90.00 90.00
Each line ends with the local moment (μB).
Sites, in units of the cell vectors:
Mo 0.000 0.000 0.000  -2.09
Mo 0.500 0.500 0.000  2.36
Ba 0.500 0.000 0.500  0.02
Br 0.000 0.500 0.500  0.02



Density functional theory data (GGA-PBE) for a relaxed structure of BaMo2Br.

Properties
DOS at the Fermi energy: 5.041 states/eV/cell
raw formation energy: 1.29 eV per atom
polymorph energy (0 for the lowest one): 1120.3 meV/atom
total magnetization: 0.00 μB/cell

a b c (Å): 10.496 10.496 10.496
angles (deg): 17.01 17.01 17.01
Sites, in units of the cell vectors:
Mo 0.016 0.016 0.016
Mo 0.484 0.484 0.484
Ba 0.250 0.250 0.250
Br 0.750 0.750 0.750



Density functional theory data (GGA-PBE) for a relaxed structure of BaMoBr2.

Properties
DOS at the Fermi energy: 1.203 states/eV/cell
raw formation energy: -0.08 eV per atom
polymorph energy (0 for the lowest one): 209.8 meV/atom
total magnetization: 5.83 μB/cell

a b c (Å): 4.073 4.073 8.100
angles (deg): 90.00 90.00 90.00
Each line ends with the local moment (μB).
Sites, in units of the cell vectors:
Mo 0.500 0.500 0.250  4.12
Ba 0.500 0.500 0.750  0.09
Br 0.000 0.000 0.973  0.07
Br 0.000 0.000 0.527  0.07



Density functional theory data (GGA-PBE) for a relaxed structure of BaMo2Br.

Properties
DOS at the Fermi energy: 2.413 states/eV/cell
raw formation energy: 0.24 eV per atom
polymorph energy (0 for the lowest one): 78.8 meV/atom
total magnetization: 0.00 μB/cell

a b c (Å): 3.423 3.423 8.646
angles (deg): 90.00 90.00 90.00
Sites, in units of the cell vectors:
Mo 0.000 0.000 0.068
Mo 0.500 0.500 0.182
Ba 0.000 0.000 0.495
Br 0.500 0.500 0.754



Density functional theory data (GGA-PBE) for a relaxed structure of Ba2MoBr.

Properties
DOS at the Fermi energy: 4.237 states/eV/cell
raw formation energy: 0.31 eV per atom
polymorph energy (0 for the lowest one): 276.5 meV/atom
total magnetization: 4.28 μB/cell

a b c (Å): 7.664 7.664 7.664
angles (deg): 143.76 143.76 52.19
Each line ends with the local moment (μB).
Sites, in units of the cell vectors:
Mo 0.250 0.750 0.500  3.27
Ba 0.000 0.000 0.000  0.01
Ba 0.750 0.250 0.500  0.05
Br 0.500 0.500 0.000  0.03



Density functional theory data (GGA-PBE) for a relaxed structure of BaMoBr2.

Properties
DOS at the Fermi energy: 1.775 states/eV/cell
raw formation energy: -0.18 eV per atom
polymorph energy (0 for the lowest one): 107.5 meV/atom
total magnetization: 5.21 μB/cell

a b c (Å): 6.701 6.701 4.479
angles (deg): 89.85 89.85 41.26
Each line ends with the local moment (μB).
Sites, in units of the cell vectors:
Mo 0.501 0.501 0.623  3.79
Ba 0.282 0.282 0.125  0.09
Br 0.993 0.993 0.126  0.06
Br 0.724 0.724 0.626  0.04



Density functional theory data (GGA-PBE) for a relaxed structure of BaMo2BrN.

Properties
DOS at the Fermi energy: 3.489 states/eV/cell
raw formation energy: 0.13 eV per atom
total magnetization: 1.48 μB/cell

a b c (Å): 4.162 6.636 4.162
angles (deg): 90.00 90.00 90.00
Each line ends with the local moment (μB).
Sites, in units of the cell vectors:
Mo 0.000 0.000 0.500  0.55
Mo 0.500 0.000 0.000  0.49
Ba 0.000 0.500 0.000  0.03
Br 0.500 0.500 0.500  0.06
N 0.000 0.000 0.000  -0.03



Density functional theory data (GGA-PBE) for a relaxed structure of BaNa2MoBr.

Properties
DOS at the Fermi energy: 2.661 states/eV/cell
raw formation energy: 0.47 eV per atom
total magnetization: 4.28 μB/cell

a b c (Å): 5.630 5.775 5.630
angles (deg): 90.00 90.00 90.00
Each line ends with the local moment (μB).
Sites, in units of the cell vectors:
Na 0.000 0.000 0.500  -0.01
Na 0.500 0.000 0.000  0.00
Mo 0.000 0.500 0.000  3.39
Ba 0.500 0.500 0.500  0.00
Br 0.000 0.000 0.000  0.03